# 1
A relaxed structure of PuCu4Ge. Source: Alexandria via LeMat-Bulk, functional PBE-GGA.

Properties
- M_tot (μB per formula unit) = 5.7
- ΔH_f (0 K) (meV/atom) = -51.2
- SG = F-43m (216)

Lattice parameters (Å, degrees): 5.083 5.083 5.083 60.00 60.00 60.00
Each line ends with the local moment (μB).
Fractional positions:
Ge (0.000, 0.000, 0.000)  0.01
Cu (0.625, 0.625, 0.124)  0.03
Cu (0.625, 0.124, 0.625)  0.03
Cu (0.625, 0.625, 0.625)  0.03
Cu (0.124, 0.625, 0.625)  0.03
Pu (0.250, 0.250, 0.250)  5.28

=====

# 2
A relaxed structure of CaGa3Ge. Source: Alexandria via LeMat-Bulk, functional PBE-GGA.

Properties
- M_tot (μB per formula unit) = 0.0
- distance to the lowest polymorph of the same formula (meV/atom) = 0
- ΔH_f (0 K) (meV/atom) = -306.4
- SG = Cm (8)

Lattice parameters (Å, degrees): 4.334 4.334 5.996 77.05 77.06 85.00
Fractional positions:
Ca (0.393, 0.196, 0.905)
Ga (0.633, 0.991, 0.397)
Ga (0.187, 0.436, 0.397)
Ga (0.787, 0.590, 0.127)
Ge (0.008, 0.811, 0.686)

=====

# 3
A relaxed structure of LaCu2Ni. Source: Alexandria via LeMat-Bulk, functional PBE-GGA.

Properties
- M_tot (μB per formula unit) = 0.0
- ΔH_f (0 K) (meV/atom) = -215.2
- SG = Cm (8)

Lattice parameters (Å, degrees): 4.190 4.190 5.388 67.02 67.02 60.02
Fractional positions:
Ni (0.302, 0.302, 0.094)
Cu (0.995, 0.995, 0.013)
Cu (0.701, 0.701, 0.898)
La (0.502, 0.502, 0.494)

=====

# 4
A relaxed structure of Ni4Pt3W2. Source: Alexandria via LeMat-Bulk, functional PBE-GGA.

Properties
- M_tot (μB per formula unit) = 0.0
- distance to the lowest polymorph of the same formula (meV/atom) = 0
- ΔH_f (0 K) (meV/atom) = -126.2
- SG = P-1 (2)

Lattice parameters (Å, degrees): 4.694 6.885 8.274 73.63 74.64 89.15
Fractional positions:
Ni (0.506, 0.082, 0.830)
Ni (0.949, 0.198, 0.937)
Ni (0.494, 0.918, 0.170)
Ni (0.051, 0.802, 0.063)
Ni (0.168, 0.748, 0.499)
Ni (0.271, 0.521, 0.282)
Ni (0.832, 0.252, 0.501)
Ni (0.729, 0.479, 0.718)
Pt (0.055, 0.972, 0.727)
Pt (0.407, 0.299, 0.046)
Pt (0.945, 0.028, 0.273)
Pt (0.593, 0.701, 0.954)
Pt (0.276, 0.364, 0.613)
Pt (0.724, 0.636, 0.387)
W (0.628, 0.866, 0.609)
W (0.843, 0.415, 0.166)
W (0.372, 0.134, 0.391)
W (0.157, 0.585, 0.834)

=====

# 5
A relaxed structure of As3Se5. Source: Alexandria via LeMat-Bulk, functional PBE-GGA.

Properties
- M_tot (μB per formula unit) = 0.0
- raw formation energy (eV per atom) = 0.176
- distance to the lowest polymorph of the same formula (meV/atom) = 114
- SG = P6_3/mcm (193)

Lattice parameters (Å, degrees): 8.712 8.712 5.561 90.00 90.00 120.00
Fractional positions:
As (0.695, 0.000, 0.250)
As (0.305, 0.000, 0.750)
As (0.000, 0.695, 0.250)
As (0.305, 0.305, 0.250)
As (0.695, 0.695, 0.750)
As (0.000, 0.305, 0.750)
Se (0.333, 0.667, 0.000)
Se (0.667, 0.333, 0.500)
Se (0.667, 0.333, 0.000)
Se (0.333, 0.667, 0.500)
Se (0.274, 0.000, 0.250)
Se (0.726, 0.000, 0.750)
Se (0.000, 0.274, 0.250)
Se (0.726, 0.726, 0.250)
Se (0.274, 0.274, 0.750)
Se (0.000, 0.726, 0.750)

=====

# 6
A relaxed structure of RbInGe. Source: Alexandria via LeMat-Bulk, functional PBE-GGA.

Properties
- M_tot (μB per formula unit) = 0.0
- ΔH_f (0 K) (meV/atom) = -78.1
- SG = Pnma (62)

Lattice parameters (Å, degrees): 8.758 5.028 8.139 90.00 90.00 90.00
Fractional positions:
Ge (0.831, 0.250, 0.099)
Ge (0.669, 0.750, 0.599)
Ge (0.169, 0.750, 0.901)
Ge (0.331, 0.250, 0.401)
Rb (0.008, 0.250, 0.664)
Rb (0.492, 0.750, 0.164)
Rb (0.992, 0.750, 0.336)
Rb (0.508, 0.250, 0.836)
In (0.158, 0.250, 0.089)
In (0.342, 0.750, 0.589)
In (0.842, 0.750, 0.911)
In (0.658, 0.250, 0.411)

=====

# 7
A relaxed structure of ErUS2. Source: Alexandria via LeMat-Bulk, functional PBE-GGA.

Properties
- M_tot (μB per formula unit) = 3.7
- raw formation energy (eV per atom) = -1.184
- distance to the lowest polymorph of the same formula (meV/atom) = 472
- SG = R-3m (166)

Lattice parameters (Å, degrees): 4.801 4.801 4.794 59.96 59.96 60.00
Each line ends with the local moment (μB).
Fractional positions:
S (0.250, 0.250, 0.250)  -0.05
S (0.750, 0.750, 0.750)  -0.05
U (0.000, 0.000, 0.000)  2.85
Er (0.500, 0.500, 0.500)  0.51

=====

# 8
A relaxed structure of KAcIn2. Source: Alexandria via LeMat-Bulk, functional PBE-GGA.

Properties
- M_tot (μB per formula unit) = 0.0
- distance to the lowest polymorph of the same formula (meV/atom) = 181
- ΔH_f (0 K) (meV/atom) = -26.6
- SG = R-3m (166)

Lattice parameters (Å, degrees): 3.975 3.975 11.410 79.97 79.97 60.00
Fractional positions:
Ac (0.500, 0.500, 0.500)
K (0.000, 0.000, 0.000)
In (0.753, 0.753, 0.740)
In (0.247, 0.247, 0.260)

=====

Number 1: volume 93 Å³/cell, energy -5.940 eV/atom. Number 2: volume 107 Å³/cell, energy -3.446 eV/atom. Number 3: volume 73 Å³/cell, energy -4.940 eV/atom. Number 4: volume 247 Å³/cell, energy -7.588 eV/atom. Number 5: volume 366 Å³/cell, energy -3.745 eV/atom. Number 6: volume 358 Å³/cell, energy -2.853 eV/atom. Number 7: volume 78 Å³/cell, energy -7.211 eV/atom. Number 8: volume 153 Å³/cell, energy -2.697 eV/atom.